LiUGa2: relaxed, PBE-GGA.

The value obtained for the formation energy is -203.3 meV per atom. The calculation puts the uncorrected energy at -5.017 eV per atom. The value obtained for the relative energy among the computed polymorphs is 0.0000 eV/atom.

The structure belongs to space group P4/mmm (No. 123); the cell edges are 2.765, 2.765 and 8.905 Å and the angles 90.00°, 90.00° and 90.00°. Symmetry generates all atoms from Li at (0.000, 0.000, 0.000), U at (0.000, 0.000, 0.500) and Ga at (0.500, 0.500, 0.229).



In2HO: relaxed, PBE-GGA.

The calculation puts the uncorrected energy at -3.725 eV per atom. The value obtained for the relative energy among the computed polymorphs is 0.0000 eV/atom.

The structure belongs to space group I-42d (No. 122); the cell edges are 5.427, 5.427 and 9.562 Å and the angles 90.00°, 90.00° and 90.00°. Symmetry generates all atoms from In at (0.242, 0.250, 0.125), H at (0.000, 0.000, 0.000) and O at (0.000, 0.000, 0.500).



UTi2Pd9: relaxed, PBE-GGA.

The value obtained for the formation energy is -573.9 meV per atom. The calculation puts the uncorrected energy at -6.725 eV per atom.

The structure belongs to space group P4/mmm (No. 123); the cell edges are 4.015, 4.015 and 11.949 Å and the angles 90.00°, 90.00° and 90.00°. Symmetry generates all atoms from U at (0.000, 0.000, 0.000), Ti at (0.000, 0.000, 0.340), Pd at (0.000, 0.500, 0.179), Pd at (0.000, 0.500, 0.500), Pd at (0.500, 0.500, 0.000) and Pd at (0.500, 0.500, 0.340).



Ho2Zn3In2: relaxed, PBE-GGA.

The value obtained for the formation energy is -134.6 meV per atom. The calculation puts the uncorrected energy at -2.771 eV per atom.

The structure belongs to space group Cmmm (No. 65); the cell edges are 4.462, 21.373 and 3.347 Å and the angles 90.00°, 90.00° and 90.00°. Symmetry generates all atoms from Ho at (0.000, 0.140, 0.000), Zn at (0.000, 0.000, 0.000), Zn at (0.000, 0.438, 0.500) and In at (0.000, 0.291, 0.500).



In3IBr3: relaxed, PBE-GGA.

The calculation puts the uncorrected energy at -2.494 eV per atom. The formation energy without anion corrections comes out at -382 meV per atom.

The structure belongs to space group Pm-3n (No. 223); the cell edges are 8.740, 8.740 and 8.740 Å and the angles 90.00°, 90.00° and 90.00°. Symmetry generates all atoms from In at (0.000, 0.250, 0.500), I at (0.000, 0.000, 0.000) and Br at (0.000, 0.500, 0.250).



AlTlOs2: relaxed, PBE-GGA.

The value obtained for the formation energy is 226.9 meV per atom. The calculation puts the uncorrected energy at -6.915 eV per atom. The value obtained for the relative energy among the computed polymorphs is 0.0000 eV/atom.

The structure belongs to space group Pm (No. 6); the cell edges are 2.884, 2.894 and 8.425 Å and the angles 90.00°, 99.85° and 90.00°. Symmetry generates all atoms from Al at (0.000, 0.000, 0.000), Tl at (0.843, 0.500, 0.681), Os at (0.203, 0.000, 0.406) and Os at (0.603, 0.500, 0.206).



Pm2NdHo5Sc: relaxed, PBE-GGA.

The value obtained for the formation energy is 161.7 meV per atom. The calculation puts the uncorrected energy at -4.670 eV per atom.

The structure belongs to space group Cmc2_1 (No. 36); the cell edges are 5.587, 19.720 and 10.437 Å and the angles 90.00°, 90.00° and 90.00°. Symmetry generates all atoms from Pm at (0.000, 0.112, 0.000), Pm at (0.000, 0.115, 0.419), Nd at (0.000, 0.413, 0.142), Ho at (0.000, 0.018, 0.705), Ho at (0.000, 0.277, 0.008), Ho at (0.000, 0.297, 0.390), Ho at (0.000, 0.375, 0.704), Ho at (0.000, 0.482, 0.424) and Sc at (0.000, 0.197, 0.700).



MoPt2Br: relaxed, PBE-GGA.

The calculation puts the uncorrected energy at -5.921 eV per atom. The formation energy without anion corrections comes out at 225 meV per atom. The value obtained for the relative energy among the computed polymorphs is 0.1782 eV/atom.

The structure belongs to space group P4mm (No. 99); the cell edges are 2.970, 2.970 and 8.199 Å and the angles 90.00°, 90.00° and 90.00°. Symmetry generates all atoms from Mo at (0.000, 0.000, 0.000), Pt at (0.000, 0.000, 0.437), Pt at (0.500, 0.500, 0.202) and Br at (0.500, 0.500, 0.786).



ScCoAu3: relaxed, PBE-GGA.

The value obtained for the formation energy is 946.7 meV per atom. The calculation puts the uncorrected energy at -3.707 eV per atom. The value obtained for the relative energy among the computed polymorphs is 0.6239 eV/atom.

The structure belongs to space group Pm-3m (No. 221); the cell edges are 5.063, 5.063 and 5.063 Å and the angles 90.00°, 90.00° and 90.00°. Symmetry generates all atoms from Sc at (0.000, 0.000, 0.000), Co at (0.500, 0.500, 0.500) and Au at (0.000, 0.000, 0.500).



Ce2PrNd3Y6: relaxed, PBE-GGA.

The value obtained for the formation energy is 46.6 meV per atom. The calculation puts the uncorrected energy at -5.765 eV per atom.

The structure belongs to space group C2/m (No. 12); the cell edges are 6.255, 10.835 and 11.858 Å and the angles 90.00°, 100.12° and 90.00°. Symmetry generates all atoms from Ce at (0.000, 0.167, 0.000), Pr at (0.000, 0.500, 0.000), Nd at (0.000, 0.000, 0.500), Nd at (0.000, 0.334, 0.500), Y at (0.247, 0.000, 0.247) and Y at (0.250, 0.168, 0.753).



La3BPt: relaxed, PBE-GGA.

The value obtained for the formation energy is -68.1 meV per atom. The calculation puts the uncorrected energy at -5.568 eV per atom. The value obtained for the relative energy among the computed polymorphs is 0.0000 eV/atom.

The structure belongs to space group Pm-3m (No. 221); the cell edges are 5.184, 5.184 and 5.184 Å and the angles 90.00°, 90.00° and 90.00°. Symmetry generates all atoms from La at (0.000, 0.000, 0.500), B at (0.000, 0.000, 0.000) and Pt at (0.500, 0.500, 0.500).



Sm10TmTh4: relaxed, PBE-GGA.

The value obtained for the formation energy is 380.4 meV per atom. The calculation puts the uncorrected energy at -5.042 eV per atom.

The structure belongs to space group I4/m (No. 87); the cell edges are 9.816, 9.816 and 10.757 Å and the angles 90.00°, 90.00° and 90.00°. Symmetry generates all atoms from Sm at (0.000, 0.500, 0.250), Sm at (0.117, 0.211, 0.159), Tm at (0.000, 0.000, 0.500) and Th at (0.060, 0.335, 0.500).



BaNbPO2: relaxed, PBE-GGA.

The calculation puts the uncorrected energy at -7.258 eV per atom. The formation energy without anion corrections comes out at -1795 meV per atom. The value obtained for the relative energy among the computed polymorphs is 0.0000 eV/atom.

The structure belongs to space group P4/mmm (No. 123); the cell edges are 4.228, 4.228 and 4.980 Å and the angles 90.00°, 90.00° and 90.00°. Symmetry generates all atoms from Ba at (0.000, 0.000, 0.000), Nb at (0.500, 0.500, 0.500), P at (0.500, 0.500, 0.000) and O at (0.000, 0.500, 0.500).



Cs6MoN4: relaxed, PBE-GGA.

The calculation puts the uncorrected energy at -4.429 eV per atom. The formation energy without anion corrections comes out at 49 meV per atom.

The structure belongs to space group P4_2/nmc (No. 137, origin choice 2); the cell edges are 8.918, 8.918 and 7.963 Å and the angles 90.00°, 90.00° and 90.00°. Symmetry generates all atoms from Cs at (0.038, 0.538, 0.250), Cs at (0.250, 0.250, 0.015), Mo at (0.250, 0.750, 0.750) and N at (0.067, 0.750, 0.623).



Hf2Zr2Ni: relaxed, PBE-GGA.

The value obtained for the formation energy is 75.3 meV per atom. The calculation puts the uncorrected energy at -8.482 eV per atom. The value obtained for the relative energy among the computed polymorphs is 0.0000 eV/atom.

The structure belongs to space group P4/mbm (No. 127); the cell edges are 6.700, 6.700 and 4.769 Å and the angles 90.00°, 90.00° and 90.00°. Symmetry generates all atoms from Hf at (0.155, 0.345, 0.000), Zr at (0.153, 0.653, 0.500) and Ni at (0.000, 0.000, 0.000).



LaSi2Ni2Ir: relaxed, PBE-GGA.

The calculation puts the uncorrected energy at -6.199 eV per atom. The formation energy without anion corrections comes out at -166 meV per atom.

The structure belongs to space group P4/mmm (No. 123); the cell edges are 4.574, 4.574 and 5.476 Å and the angles 90.00°, 90.00° and 90.00°. Symmetry generates all atoms from La at (0.000, 0.000, 0.000), Si at (0.000, 0.500, 0.500), Ni at (0.500, 0.500, 0.265) and Ir at (0.000, 0.000, 0.500).



Si2TcPb: relaxed, PBE-GGA.

The calculation puts the uncorrected energy at -5.519 eV per atom. The formation energy without anion corrections comes out at 711 meV per atom.

The structure belongs to space group I4/mmm (No. 139); the cell edges are 4.227, 4.227 and 7.767 Å and the angles 90.00°, 90.00° and 90.00°. Symmetry generates all atoms from Si at (0.000, 0.500, 0.250), Tc at (0.000, 0.000, 0.000) and Pb at (0.000, 0.000, 0.500).



OsAu3O: relaxed, PBE-GGA.

The calculation puts the uncorrected energy at -4.042 eV per atom. The formation energy without anion corrections comes out at 1162 meV per atom. The value obtained for the relative energy among the computed polymorphs is 0.0000 eV/atom.

The structure belongs to space group Pm-3m (No. 221); the cell edges are 4.384, 4.384 and 4.384 Å and the angles 90.00°, 90.00° and 90.00°. Symmetry generates all atoms from Os at (0.000, 0.000, 0.000), Au at (0.000, 0.500, 0.500) and O at (0.500, 0.500, 0.500).



PmSm7Sc4: relaxed, PBE-GGA.

The value obtained for the formation energy is 225.3 meV per atom. The calculation puts the uncorrected energy at -5.034 eV per atom. The value obtained for the relative energy among the computed polymorphs is 0.1923 eV/atom.

The structure belongs to space group C2/m (No. 12); the cell edges are 15.571, 5.835 and 9.490 Å and the angles 90.00°, 119.87° and 90.00°. Symmetry generates all atoms from Pm at (0.000, 0.000, 0.000), Sm at (0.000, 0.500, 0.000), Sm at (0.090, 0.000, 0.453), Sm at (0.212, 0.000, 0.885), Sm at (0.236, 0.000, 0.272), Sc at (0.058, 0.500, 0.698) and Sc at (0.164, 0.500, 0.353).



K2PAu: relaxed, PBE-GGA.

The value obtained for the formation energy is 208.2 meV per atom. The calculation puts the uncorrected energy at -2.512 eV per atom.

The structure belongs to space group R-3m (No. 166, hexagonal axes); the cell edges are 3.7203, 3.7203 and 29.8892 Å and the angles 90.00°, 90.00° and 120.00°. Symmetry generates all atoms from K at (0.0000, 0.0000, 0.2491), P at (0.0000, 0.0000, 0.5000) and Au at (0.0000, 0.0000, 0.0000).